## a
This record from Alexandria describes a relaxed Ca2ReNi crystal. The functional is GGA-PBEsol.

Structure (CIF):
```
data_Ca2ReNi
_cell_length_a 6.341
_cell_length_b 8.569
_cell_length_c 2.765
_cell_angle_alpha 90.00
_cell_angle_beta 90.00
_cell_angle_gamma 90.00
_symmetry_space_group_name_H-M 'C m m m'
_symmetry_Int_Tables_number 65
_symmetry_space_group_name_Hall '-C 2 2'
loop_
_atom_site_label
_atom_site_type_symbol
_atom_site_fract_x
_atom_site_fract_y
_atom_site_fract_z
Ca1 Ca 0.250 0.250 0.000
Re1 Re 0.000 0.000 0.500
Ni1 Ni 0.000 0.500 0.500
```

Summary:
Total moment ... 0.00 μB/cell


## b
This record from Alexandria describes a relaxed Ca2ReNi crystal. The functional is GGA-PBEsol.

Structure (CIF):
```
data_Ca2ReNi
_cell_length_a 4.097
_cell_length_b 4.097
_cell_length_c 4.398
_cell_angle_alpha 90.00
_cell_angle_beta 90.00
_cell_angle_gamma 90.00
_symmetry_space_group_name_H-M 'P 4/m m m'
_symmetry_Int_Tables_number 123
_symmetry_space_group_name_Hall '-P 4 2'
loop_
_atom_site_label
_atom_site_type_symbol
_atom_site_fract_x
_atom_site_fract_y
_atom_site_fract_z
Ca1 Ca 0.000 0.500 0.000
Re1 Re 0.000 0.000 0.500
Ni1 Ni 0.500 0.500 0.500
```

Summary:
Total moment ... 0.55 μB/cell


Which structure above is the least stable? It is b.